[1]
Entry from the Alexandria database: a geometry-optimized ZrMoPb structure (GGA-PBE).

Properties
* symmetry: F-43m
* volume: 24.29 A^3/atom
* density: 9.0 g/cm³
* ΔE_f: 15.3 kcal/mol of atoms

a b c (Å): 4.688 4.688 4.688
angles (deg): 60.00 60.00 60.00
Positions (direct):
Zr 0.000 0.000 0.000
Mo 0.250 0.250 0.250
Pb 0.500 0.500 0.500

***

[2]
Entry from the Alexandria database: a geometry-optimized ZrMoPb structure (GGA-PBE).

Properties
* symmetry: F-43m
* volume: 25.13 A^3/atom
* density: 8.7 g/cm³
* ΔE_f: 23.2 kcal/mol of atoms

a b c (Å): 4.742 4.742 4.742
angles (deg): 60.00 60.00 60.00
Positions (direct):
Zr 0.000 0.000 0.000
Mo 0.750 0.750 0.750
Pb 0.250 0.250 0.250

***

[3]
Entry from the Alexandria database: a geometry-optimized ZrMoPb2 structure (GGA-PBE).

Properties
* symmetry: Pm
* volume: 22.98 A^3/atom
* density: 10.9 g/cm³
* ΔE_f: 8.5 kcal/mol of atoms

a b c (Å): 3.335 4.755 5.967
angles (deg): 90.00 103.77 90.00
Positions (direct):
Zr 0.000 0.000 0.000
Mo 0.329 0.500 0.241
Pb 0.447 0.500 0.777
Pb 0.808 0.000 0.456

***

[4]
Entry from the Alexandria database: a geometry-optimized ZrMoPb structure (GGA-PBE).

Properties
* symmetry: Fmm2
* volume: 21.52 A^3/atom
* density: 10.1 g/cm³
* ΔE_f: 6.2 kcal/mol of atoms

a b c (Å): 7.466 7.210 3.157
angles (deg): 82.15 73.08 24.77
Positions (direct):
Zr 0.000 0.000 0.000
Mo 0.350 0.350 0.650
Pb 0.685 0.685 0.315

***

[5]
Entry from the Alexandria database: a geometry-optimized ZrMoPb2 structure (GGA-PBE).

Properties
* symmetry: Immm
* volume: 22.42 A^3/atom
* density: 11.1 g/cm³
* ΔE_f: 8.1 kcal/mol of atoms

a b c (Å): 5.732 5.732 5.732
angles (deg): 143.82 125.04 67.59
Positions (direct):
Zr 0.000 0.000 0.000
Mo 0.500 0.500 0.000
Pb 0.263 0.763 0.500
Pb 0.737 0.237 0.500

***

[6]
Entry from the Alexandria database: a geometry-optimized Zr2MoPb structure (GGA-PBE).

Properties
* symmetry: P4mm
* volume: 21.00 A^3/atom
* density: 9.6 g/cm³
* ΔE_f: 2.3 kcal/mol of atoms

a b c (Å): 3.596 3.596 6.496
angles (deg): 90.00 90.00 90.00
Positions (direct):
Zr 0.000 0.000 0.000
Zr 0.500 0.500 0.261
Mo 0.000 0.000 0.489
Pb 0.500 0.500 0.730

***

[7]
Entry from the Alexandria database: a geometry-optimized Zr2MoPb structure (GGA-PBE).

Properties
* symmetry: P4/mmm
* volume: 21.24 A^3/atom
* density: 9.5 g/cm³
* ΔE_f: -2.7 kcal/mol of atoms

a b c (Å): 3.534 3.534 6.803
angles (deg): 90.00 90.00 90.00
Positions (direct):
Zr 0.000 0.000 0.224
Zr 0.000 0.000 0.776
Mo 0.500 0.500 0.000
Pb 0.500 0.500 0.500

***

[8]
Entry from the Alexandria database: a geometry-optimized ZrMoPb4 structure (GGA-PBE).

Properties
* symmetry: F-43m
* volume: 28.63 A^3/atom
* density: 9.8 g/cm³
* ΔE_f: 22.1 kcal/mol of atoms

a b c (Å): 6.239 6.239 6.239
angles (deg): 60.00 60.00 60.00
Positions (direct):
Zr 0.000 0.000 0.000
Mo 0.750 0.750 0.750
Pb 0.375 0.375 0.375
Pb 0.375 0.375 0.875
Pb 0.375 0.875 0.375
Pb 0.875 0.375 0.375

***

[9]
Entry from the Alexandria database: a geometry-optimized ZrMo3Pb structure (GGA-PBE).

Properties
* symmetry: Pm-3m
* volume: 24.50 A^3/atom
* density: 7.9 g/cm³
* ΔE_f: 51.1 kcal/mol of atoms

a b c (Å): 4.967 4.967 4.967
angles (deg): 90.00 90.00 90.00
Positions (direct):
Zr 0.000 0.000 0.000
Mo 0.000 0.500 0.500
Mo 0.500 0.000 0.500
Mo 0.500 0.500 0.000
Pb 0.500 0.500 0.500

***

[10]
Entry from the Alexandria database: a geometry-optimized ZrMoPb structure (GGA-PBE).

Properties
* symmetry: P3m1
* volume: 20.78 A^3/atom
* density: 10.5 g/cm³
* ΔE_f: 7.1 kcal/mol of atoms

a b c (Å): 4.874 4.874 3.031
angles (deg): 90.00 90.00 120.00
Positions (direct):
Zr 0.000 0.000 0.000
Mo 0.333 0.667 0.312
Pb 0.667 0.333 0.557

***

[11]
Entry from the Alexandria database: a geometry-optimized ZrMoPb2 structure (GGA-PBE).

Properties
* symmetry: P2/m
* volume: 22.34 A^3/atom
* density: 11.2 g/cm³
* ΔE_f: 8.6 kcal/mol of atoms

a b c (Å): 3.226 4.672 6.015
angles (deg): 90.00 99.70 90.00
Positions (direct):
Zr 0.000 0.000 0.000
Mo 0.500 0.000 0.500
Pb 0.302 0.500 0.742
Pb 0.698 0.500 0.258

***

[12]
Entry from the Alexandria database: a geometry-optimized Zr2MoPb structure (GGA-PBE).

Properties
* symmetry: Imm2
* volume: 21.22 A^3/atom
* density: 9.5 g/cm³
* ΔE_f: 1.0 kcal/mol of atoms

a b c (Å): 5.744 5.744 5.744
angles (deg): 143.36 130.59 63.06
Positions (direct):
Zr 0.000 0.000 0.000
Zr 0.735 0.235 0.500
Mo 0.221 0.721 0.500
Pb 0.466 0.466 0.000